PBE+U LaMnO3, optimized geometry; M_tot = 0.000 μB per atom; calculated total energy = -34.341 eV per formula unit; DOS(E_F) = 0.189 states/eV/atom
1.0
3.1693 0.0000 0.0000
0.0000 3.1589 -4.9061
0.0000 3.1589 4.9061
O Mn La
3 1 1
Direct
0.0000 0.2268 0.7732 O
0.5000 0.2593 0.3593 O
0.5000 0.6407 0.7407 O
0.0000 0.4284 0.5716 Mn
0.5000 0.0729 0.9271 La